# 1
7
Lattice="6.282 -1.815 0.000 6.282 1.815 0.000 -3.077 0.000 5.420" Properties=species:S:1:pos:R:3 comment="Cr2CoSe3S | the Alexandria database | GGA-PBE | optimized geometry" density_g_cm3=5.80 raw_formation_energy_mev_per_atom=-452 pbc="T T T"
Cr 0.000 0.000 0.000
Cr 4.797 0.000 3.129
Co 2.418 0.000 1.667
Se -0.700 0.000 4.632
Se 6.991 0.000 1.762
Se 10.395 0.000 1.424
S 2.609 0.000 3.986

***

# 2
5
Lattice="3.966 0.000 0.000 0.000 3.966 0.000 0.000 0.000 4.640" Properties=species:S:1:pos:R:3 comment="CrCo2SiS | the Alexandria database | GGA-PBE | optimized geometry" density_g_cm3=5.23 raw_formation_energy_mev_per_atom=895 pbc="T T T"
Cr 0.000 0.000 0.000
Co 0.000 1.983 2.320
Co 1.983 0.000 2.320
Si 1.983 1.983 0.000
S 1.983 1.983 2.320

***

# 3
11
Lattice="2.918 -5.196 0.000 2.918 5.196 0.000 -0.190 0.000 5.873" Properties=species:S:1:pos:R:3 comment="Ta2Cr2CoS6 | the Alexandria database | GGA-PBE | optimized geometry" density_g_cm3=6.69 raw_formation_energy_mev_per_atom=-601 pbc="T T T"
Ta 2.918 3.730 0.000
Ta 2.918 -3.730 0.000
Cr 2.823 3.424 2.937
Cr 2.823 -3.424 2.937
Co 2.918 0.000 0.000
S 1.844 1.746 4.455
S 1.076 0.000 1.661
S 3.802 1.746 1.418
S 1.844 -1.746 4.455
S 4.570 0.000 4.212
S 3.802 -1.746 1.418

***

# 4
12
Lattice="7.866 0.000 0.000 0.000 3.510 0.000 -3.547 0.000 8.606" Properties=species:S:1:pos:R:3 comment="TlCrCoS3 | the Alexandria database | GGA-PBE | optimized geometry" density_g_cm3=5.75 raw_formation_energy_mev_per_atom=-521 pbc="T T T"
Tl -0.751 0.877 1.915
Tl 5.070 2.632 6.692
Cr 1.328 2.632 5.705
Cr 2.991 0.877 2.901
Co 0.564 0.877 7.697
Co 3.755 2.632 0.910
S -0.274 0.877 5.667
S 2.438 0.877 0.604
S 1.370 2.632 3.298
S 2.949 0.877 5.308
S 1.881 2.632 8.002
S 4.593 2.632 2.939

***

# 5
11
Lattice="2.997 -5.219 0.000 2.997 5.219 0.000 -2.226 0.000 7.342" Properties=species:S:1:pos:R:3 comment="Tl2Cr2CoS6 | the Alexandria database | GGA-PBE | optimized geometry" density_g_cm3=5.53 raw_formation_energy_mev_per_atom=-492 pbc="T T T"
Tl 2.997 3.461 0.000
Tl 2.997 -3.461 0.000
Cr 1.884 1.802 3.671
Cr 1.884 -1.802 3.671
Co -1.113 0.000 3.671
S -0.146 1.659 4.928
S 0.819 0.000 2.444
S -0.146 -1.659 4.928
S 3.914 1.659 2.413
S 2.949 0.000 4.897
S 3.914 -1.659 2.413

***

# 6
11
Lattice="3.008 -5.234 0.000 3.008 5.234 0.000 -1.936 0.000 5.752" Properties=species:S:1:pos:R:3 comment="V2Cr2CoS6 | the Alexandria database | GGA-PBE | optimized geometry" density_g_cm3=4.19 raw_formation_energy_mev_per_atom=-570 pbc="T T T"
V 3.008 3.664 0.000
V 3.008 -3.664 0.000
Cr 2.040 1.778 2.876
Cr 2.040 -1.778 2.876
Co 3.008 0.000 0.000
S 0.103 1.863 4.377
S 1.187 0.000 1.403
S 0.103 -1.863 4.377
S 3.976 1.863 1.375
S 2.893 0.000 4.349
S 3.976 -1.863 1.375

***

# 7
5
Lattice="4.996 0.000 0.000 0.000 4.996 0.000 0.000 0.000 4.996" Properties=species:S:1:pos:R:3 comment="CrCoSb3 | the Alexandria database | GGA-PBE | optimized geometry" e_above_lowest_polymorph_ev_per_atom=0.000 density_g_cm3=6.34 raw_formation_energy_mev_per_atom=899 pbc="T T T"
Cr 0.000 0.000 0.000
Co 2.498 2.498 2.498
Sb 0.000 0.000 2.498
Sb 0.000 2.498 0.000
Sb 2.498 0.000 0.000

***

# 8
8
Lattice="-1.938 1.938 7.966 1.938 -1.938 7.966 1.938 1.938 -7.966" Properties=species:S:1:pos:R:3 comment="CrCo2Sb | the Alexandria database | GGA-PBE | optimized geometry" density_g_cm3=8.09 raw_formation_energy_mev_per_atom=610 pbc="T T T"
Cr 0.000 0.000 0.000
Cr 0.000 1.938 3.983
Co 2.907 0.784 -1.992
Co 0.784 0.969 1.992
Co -0.969 1.154 5.975
Co 1.154 0.969 9.958
Sb 1.938 0.000 3.983
Sb 0.000 0.000 7.966